(1)
VASP calculation (PBE) on an optimized crystal structure of TcRu.

The energy above the most stable polymorph in this dataset is 0.118 eV per atom. The calculation puts the density of states at the Fermi level at 1.031 states/eV per atom.

The structure belongs to space group Fddd (No. 70, origin choice 2); the cell edges are 5.434, 5.445 and 7.709 Å and the angles 90.00°, 90.00° and 90.00°. The distinct sites, in fractional coordinates, are Tc at (0.125, 0.125, 0.125) and Ru at (0.125, 0.125, 0.625).

=====

(2)
VASP calculation (PBE) on an optimized crystal structure of NaMg2GaSi.

The value obtained for the formation energy from raw total energies is 0.89 eV per atom. The calculation puts the density of states at the Fermi level at 0.469 states/eV per atom.

The structure belongs to space group P4/mmm (No. 123); the cell edges are 5.248, 5.248 and 4.997 Å and the angles 90.00°, 90.00° and 90.00°. The distinct sites, in fractional coordinates, are Na at (0.000, 0.000, 0.000), Mg at (0.000, 0.500, 0.000), Ga at (0.500, 0.500, 0.500) and Si at (0.000, 0.000, 0.500).

=====

(3)
VASP calculation (PBE) on an optimized crystal structure of LiAcNiPd.

For the calculated total energy, the calculation gives -4.454 eV per atom. The calculation puts the density of states at the Fermi level at 0.329 states/eV per atom.

The structure belongs to space group F-43m (No. 216); the cell edges are 6.985, 6.985 and 6.985 Å and the angles 90.00°, 90.00° and 90.00°. The distinct sites, in fractional coordinates, are Li at (0.000, 0.000, 0.000), Ac at (0.000, 0.000, 0.500), Ni at (0.250, 0.250, 0.750) and Pd at (0.250, 0.250, 0.250).

=====

(4)
VASP calculation (PBE) on an optimized crystal structure of KTaCr.

The energy above the most stable polymorph in this dataset is 0.067 eV per atom. The calculation puts the density of states at the Fermi level at 0.836 states/eV per atom.

The structure belongs to space group Imm2 (No. 44); the cell edges are 2.990, 3.979 and 13.285 Å and the angles 90.00°, 90.00° and 90.00°. The distinct sites, in fractional coordinates, are K at (0.000, 0.000, 0.000), Ta at (0.000, 0.000, 0.739) and Cr at (0.000, 0.000, 0.254).

=====

(5)
VASP calculation (PBE) on an optimized crystal structure of KLa2Rh.

The energy above the most stable polymorph in this dataset is 0.271 eV per atom. The calculation puts the density of states at the Fermi level at 0.691 states/eV per atom.

The structure belongs to space group Immm (No. 71); the cell edges are 3.944, 6.673 and 10.982 Å and the angles 90.00°, 90.00° and 90.00°. The distinct sites, in fractional coordinates, are K at (0.000, 0.000, 0.000), La at (0.000, 0.500, 0.174) and Rh at (0.000, 0.000, 0.500).

=====

(6)
VASP calculation (PBE) on an optimized crystal structure of CsI4.

The energy above the most stable polymorph in this dataset is 0.737 eV per atom. The value obtained for the formation energy from raw total energies is 0.08 eV per atom. The calculation puts the density of states at the Fermi level at 3.911 states/eV per atom.

The structure belongs to space group Pm-3m (No. 221); the cell edges are 7.490, 7.490 and 7.490 Å and the angles 90.00°, 90.00° and 90.00°. The distinct sites, in fractional coordinates, are Cs at (0.000, 0.000, 0.000), I at (0.000, 0.000, 0.500) and I at (0.500, 0.500, 0.500).

=====

(7)
VASP calculation (PBE) on an optimized crystal structure of SrGa4Pd4.

For the calculated total energy, the calculation gives -4.443 eV per atom. The calculation puts the density of states at the Fermi level at 0.385 states/eV per atom.

The structure belongs to space group P4_2/n (No. 86, origin choice 2); the cell edges are 8.656, 8.656 and 4.717 Å and the angles 90.00°, 90.00° and 90.00°. The distinct sites, in fractional coordinates, are Sr at (0.250, 0.250, 0.250), Ga at (0.040, 0.906, 0.248) and Pd at (0.132, 0.862, 0.748).

=====

(8)
VASP calculation (PBE) on an optimized crystal structure of PrAg2S3.

The value obtained for the formation energy from raw total energies is -0.61 eV per atom. The calculation puts the density of states at the Fermi level at 0.580 states/eV per atom.

The structure belongs to space group Cmcm (No. 63); the cell edges are 8.240, 12.382 and 5.289 Å and the angles 90.00°, 90.00° and 90.00°. The distinct sites, in fractional coordinates, are Pr at (0.000, 0.234, 0.250), Ag at (0.209, 0.500, 0.000), S at (0.000, 0.369, 0.750) and S at (0.194, 0.160, 0.750).

=====

Please write out number 6 again, unchanged.
VASP calculation (PBE) on an optimized crystal structure of CsI4.

The energy above the most stable polymorph in this dataset is 0.737 eV per atom. The value obtained for the formation energy from raw total energies is 0.08 eV per atom. The calculation puts the density of states at the Fermi level at 3.911 states/eV per atom.

The structure belongs to space group Pm-3m (No. 221); the cell edges are 7.490, 7.490 and 7.490 Å and the angles 90.00°, 90.00° and 90.00°. The distinct sites, in fractional coordinates, are Cs at (0.000, 0.000, 0.000), I at (0.000, 0.000, 0.500) and I at (0.500, 0.500, 0.500).

=====

Repeat the fourth record exactly.
VASP calculation (PBE) on an optimized crystal structure of KTaCr.

The energy above the most stable polymorph in this dataset is 0.067 eV per atom. The calculation puts the density of states at the Fermi level at 0.836 states/eV per atom.

The structure belongs to space group Imm2 (No. 44); the cell edges are 2.990, 3.979 and 13.285 Å and the angles 90.00°, 90.00° and 90.00°. The distinct sites, in fractional coordinates, are K at (0.000, 0.000, 0.000), Ta at (0.000, 0.000, 0.739) and Cr at (0.000, 0.000, 0.254).